# CrCdTeF2 (PBE+U, relaxed)
data_CrCdTeF2
_cell_length_a 4.095
_cell_length_b 4.095
_cell_length_c 6.193
_cell_angle_alpha 90.00
_cell_angle_beta 90.00
_cell_angle_gamma 90.00
_symmetry_space_group_name_H-M 'P 4/m m m'
_symmetry_Int_Tables_number 123
_symmetry_space_group_name_Hall '-P 4 2'
loop_
_atom_site_label
_atom_site_fract_x
_atom_site_fract_y
_atom_site_fract_z
Cr1 0.000 0.000 0.000
Cd1 0.500 0.500 0.500
Te1 0.000 0.000 0.500
F1 0.000 0.500 0.000
# N(E_F)	1.2	states/eV/cell
# total energy	-4.610	eV per atom
# crystal system	tetragonal
# total magnetization	0.758	μB/atom